The following is a PBE calculation of crystalline Ba2ReOs at its relaxed geometry, from the Alexandria database.

Output
size of the total moment	0.32	Bohr magnetons per cell
symmetry	Immm, No. 71
excess energy over the best structure of this formula in the dataset	0.389	eV/atom
energy of formation	663	meV/atom

Cell lengths 3.5647, 3.7089, 19.4834 Å; angles 90.00, 90.00, 90.00 degrees
Last column: nearest neighbours and their distance in Å.
Positions (direct):
Ba1 0.0000 0.0000 0.1435  2 Os 3.32, 2 Re 3.35, 4 Ba 3.56-3.71
Ba2 0.0000 0.0000 0.8565  2 Os 3.32, 2 Re 3.35, 4 Ba 3.56-3.71
Ba3 0.5000 0.5000 0.3565  2 Os 3.32, 2 Re 3.35, 4 Ba 3.56-3.71
Ba4 0.5000 0.5000 0.6435  2 Os 3.32, 2 Re 3.35, 4 Ba 3.56-3.71
Re1 0.0000 0.5000 0.0000  4 Os 2.57
Re2 0.5000 0.0000 0.5000  4 Os 2.57
Os1 0.0000 0.5000 0.5000  4 Re 2.57
Os2 0.5000 0.0000 0.0000  4 Re 2.57